## NaWO2 (PBE+U)

Data for a relaxed structure of NaWO2.

Results
* total energy: -5.987 eV per atom

Cell: 6.2926 6.2926 11.7450 Å, 90.00 90.00 90.00°
Closest atoms and distances in Å follow each position.
Space group I4_1/amd (No. 141, origin choice 2)
One atom of each set of equivalent atoms:
1 Na 0.0000 0.0000 0.0000 x8  4 O 2.39
2 W 0.0000 0.0000 0.5000 x8  4 O 2.09
3 O 0.0000 0.0338 0.2295 x16  2 W 2.09